# 1
## Ac2Cd3Pd12Au (PBE-GGA)

Data for Ac2Cd3Pd12Au after structural relaxation.

Calculated values
VASP energy (eV/atom): -4.449
E_form (eV/atom): -0.1957

a b c (Å): 6.8825 6.8825 28.0289
angles (deg): 90.00 90.00 120.00
Last column: nearest neighbours and their distance in Å.
Space group R-3m (No. 166, hexagonal axes)
Asymmetric unit:
Ac (0.0000, 0.0000, 0.1379)  6 Pd 2.96-2.97
Cd (0.0000, 0.5000, 0.0000)  4 Pd 2.61
Pd (0.0461, 0.5231, 0.8911)  4 Pd 2.77-2.96, 1 Au 2.78, 1 Ac 2.97, 1 Cd 3.07
Pd (0.0752, 0.5376, 0.6191)  2 Cd 2.61, 4 Pd 2.66-2.77
Au (0.0000, 0.0000, 0.5000)  6 Pd 2.78


# 2
## AcCdPdAu (PBE-GGA)

Data for AcCdPdAu after structural relaxation.

Calculated values
VASP energy (eV/atom): -4.041
Offset from the most stable computed form (kJ/mol of formula units): 0
E_form (eV/atom): -0.6672

a b c (Å): 4.8013 4.8013 14.9023
angles (deg): 90.00 90.00 120.00
Last column: nearest neighbours and their distance in Å.
Space group R3m (No. 160, hexagonal axes)
Asymmetric unit:
Ac (0.0000, 0.0000, 0.0000)  4 Pd 3.18-3.30, 4 Au 3.22-3.27
Cd (0.0000, 0.0000, 0.5084)  3 Pd 2.83, 3 Au 2.90
Pd (0.0000, 0.0000, 0.2134)  3 Cd 2.83, 3 Au 3.12
Au (0.0000, 0.0000, 0.7836)  3 Cd 2.90, 3 Pd 3.12, 1 Ac 3.22


# 3
## AcCdPdAu (PBE-GGA)

Data for AcCdPdAu after structural relaxation.

Calculated values
VASP energy (eV/atom): -3.967
Offset from the most stable computed form (kJ/mol of formula units): 28
E_form (eV/atom): -0.5936

a b c (Å): 7.3080 7.3080 7.3080
angles (deg): 90.00 90.00 90.00
Last column: nearest neighbours and their distance in Å.
Space group F-43m (No. 216)
Asymmetric unit:
Ac (0.0000, 0.0000, 0.0000)  4 Pd 3.16, 4 Au 3.16
Cd (0.0000, 0.0000, 0.5000)  4 Pd 3.16, 4 Au 3.16
Pd (0.2500, 0.2500, 0.2500)  4 Cd 3.16, 4 Ac 3.16
Au (0.2500, 0.2500, 0.7500)  4 Cd 3.16, 4 Ac 3.16


# 4
## AcCd2PtAu2 (PBE-GGA)

Data for AcCd2PtAu2 after structural relaxation.

Calculated values
VASP energy (eV/atom): -3.195
E_form (eV/atom): -0.1056

a b c (Å): 5.3047 5.3047 11.7434
angles (deg): 90.00 90.00 90.00
Last column: nearest neighbours and their distance in Å.
Space group I4/mmm (No. 139)
Asymmetric unit:
Ac (0.0000, 0.0000, 0.0000)  2 Au 3.22
Cd (0.0000, 0.5000, 0.2500)  4 Au 2.67
Pt (0.0000, 0.0000, 0.5000)  2 Au 2.65
Au (0.0000, 0.0000, 0.2745)  1 Pt 2.65, 4 Cd 2.67


# 5
## AcPuCdAu (PBE-GGA)

Data for AcPuCdAu after structural relaxation.

Calculated values
VASP energy (eV/atom): -5.938
E_form (eV/atom): -0.2795

a b c (Å): 7.7343 7.7343 7.7343
angles (deg): 90.00 90.00 90.00
Last column: nearest neighbours and their distance in Å.
Space group F-43m (No. 216)
Asymmetric unit:
Ac (0.0000, 0.0000, 0.0000)  4 Cd 3.35, 4 Au 3.35
Pu (0.0000, 0.0000, 0.5000)  4 Cd 3.35, 4 Au 3.35
Cd (0.2500, 0.2500, 0.2500)  4 Ac 3.35, 4 Pu 3.35
Au (0.2500, 0.2500, 0.7500)  4 Ac 3.35, 4 Pu 3.35


# 6
## Ac2CdRhAu (PBE-GGA)

Data for Ac2CdRhAu after structural relaxation.

Calculated values
VASP energy (eV/atom): -4.618
E_form (eV/atom): -0.6658

a b c (Å): 8.1765 4.3618 8.4242
angles (deg): 90.00 111.93 90.00
Last column: nearest neighbours and their distance in Å.
Space group P2_1/m (No. 11)
Asymmetric unit:
Ac (0.0296, 0.2500, 0.2202)  3 Rh 3.02-3.12, 2 Au 3.27
Ac (0.3594, 0.7500, 0.6205)  2 Rh 3.00, 2 Au 3.32
Cd (0.3460, 0.2500, 0.9517)  1 Rh 2.81, 2 Au 3.07
Rh (0.1045, 0.2500, 0.6112)  1 Cd 2.81, 2 Rh 2.97, 5 Ac 3.00-3.12
Au (0.3188, 0.7500, 0.1978)  3 Cd 3.07-3.42, 4 Ac 3.27-3.32